Entry 1:
DyNpHg2O6: optimized geometry, PBE.

Properties
volume = 14.8 Å³ per atom
final energy = -135.5 eV per cell
M_tot = 0.15 μB per atom

Cell lengths 5.830, 5.961, 10.280 Å; angles 90.00, 123.88, 90.00 degrees
Space group P2_1/c (No. 14)
Asymmetric unit:
1 Dy 0.000 0.000 0.000 x2
2 Np 0.500 0.000 0.500 x2
3 Hg 0.253 0.030 0.753 x4
4 O 0.156 0.046 0.258 x4
5 O 0.255 0.682 0.051 x4
6 O 0.378 0.203 0.057 x4

---

Entry 2:
SrSbSe: optimized geometry, PBE.

Properties
volume = 32.9 Å³ per atom
final energy = -44.0 eV per cell
M_tot = 0.00 μB per atom

Cell lengths 7.335, 7.335, 7.335 Å; angles 90.00, 90.00, 90.00 degrees
Space group F-43m (No. 216)
Asymmetric unit:
1 Sr 0.000 0.000 0.000 x4
2 Sb 0.000 0.000 0.500 x4
3 Se 0.250 0.250 0.750 x4

---

Question: M_tot of number 1 (DyNpHg2O6)?
Answer: 0.15 μB per atom